Entry 1:
Computed, not measured: a relaxed structure of Tb2Dy4Tm3 at the PBE level of DFT.

Properties
Formation energy from the elements, eV per atom: 0.097

CIF file:
```
data_Tb2Dy4Tm3
_chemical_formula_sum 'Tb4 Dy8 Tm6'
_cell_length_a 6.097
_cell_length_b 9.827
_cell_length_c 9.827
_cell_angle_alpha 71.73
_cell_angle_beta 85.35
_cell_angle_gamma 85.35
_space_group_name_H-M_alt 'P 1'
_space_group_IT_number 1
_space_group_name_Hall 'P 1'
loop_
_atom_site_label
_atom_site_fract_x
_atom_site_fract_y
_atom_site_fract_z
_atom_site_occupancy
Tb1 0.180 0.763 0.477 1
Tb2 0.320 0.523 0.237 1
Tb3 0.820 0.237 0.523 1
Tb4 0.680 0.477 0.763 1
Dy1 0.513 0.096 0.811 1
Dy2 0.987 0.189 0.904 1
Dy3 0.487 0.904 0.189 1
Dy4 0.013 0.811 0.096 1
Dy5 0.654 0.856 0.571 1
Dy6 0.846 0.429 0.144 1
Dy7 0.346 0.144 0.429 1
Dy8 0.154 0.571 0.856 1
Tm1 0.085 0.930 0.737 1
Tm2 0.415 0.263 0.070 1
Tm3 0.915 0.070 0.263 1
Tm4 0.585 0.737 0.930 1
Tm5 0.250 0.403 0.597 1
Tm6 0.750 0.597 0.403 1
```

Entry 2:
Computed, not measured: a relaxed structure of Tb5Dy6Tm at the PBE level of DFT.

Properties
Formation energy from the elements, eV per atom: 0.018
Distance to the lowest polymorph of the same formula, meV/atom: 2

CIF file:
```
data_Tb5Dy6Tm
_chemical_formula_sum 'Tb5 Dy6 Tm1'
_cell_length_a 4.995
_cell_length_b 10.009
_cell_length_c 9.364
_cell_angle_alpha 122.31
_cell_angle_beta 105.47
_cell_angle_gamma 90.00
_space_group_name_H-M_alt 'P 1'
_space_group_IT_number 1
_space_group_name_Hall 'P 1'
loop_
_atom_site_label
_atom_site_fract_x
_atom_site_fract_y
_atom_site_fract_z
_atom_site_occupancy
Tm1 0.000 0.000 0.000 1
Tb1 0.666 0.166 0.332 1
Tb2 0.333 0.333 0.667 1
Tb3 0.000 0.500 0.000 1
Tb4 0.667 0.667 0.333 1
Tb5 0.334 0.834 0.668 1
Dy1 0.833 0.584 0.667 1
Dy2 0.833 0.083 0.667 1
Dy3 0.500 0.751 0.000 1
Dy4 0.500 0.249 0.000 1
Dy5 0.167 0.917 0.333 1
Dy6 0.167 0.416 0.333 1
```

Entry 3:
Computed, not measured: a relaxed structure of TbDy4Tm2 at the PBE level of DFT.

Properties
Formation energy from the elements, eV per atom: 0.007
Distance to the lowest polymorph of the same formula, meV/atom: 0

CIF file:
```
data_TbDy4Tm2
_chemical_formula_sum 'Tb1 Dy4 Tm2'
_cell_length_a 3.553
_cell_length_b 3.553
_cell_length_c 19.840
_cell_angle_alpha 90.00
_cell_angle_beta 90.00
_cell_angle_gamma 120.00
_space_group_name_H-M_alt 'P 1'
_space_group_IT_number 1
_space_group_name_Hall 'P 1'
loop_
_atom_site_label
_atom_site_fract_x
_atom_site_fract_y
_atom_site_fract_z
_atom_site_occupancy
Tb1 0.715 0.430 0.666 1
Dy1 0.048 0.096 0.955 1
Dy2 0.381 0.763 0.522 1
Dy3 0.047 0.095 0.238 1
Dy4 0.381 0.763 0.810 1
Tm1 0.714 0.428 0.097 1
Tm2 0.714 0.429 0.380 1
```

Entry 4:
Computed, not measured: a relaxed structure of Tb9Dy3Tm2 at the PBE level of DFT.

Properties
Formation energy from the elements, eV per atom: 0.117

CIF file:
```
data_Tb9Dy3Tm2
_chemical_formula_sum 'Tb9 Dy3 Tm2'
_cell_length_a 6.211
_cell_length_b 13.486
_cell_length_c 10.417
_cell_angle_alpha 40.37
_cell_angle_beta 56.11
_cell_angle_gamma 54.90
_space_group_name_H-M_alt 'P 1'
_space_group_IT_number 1
_space_group_name_Hall 'P 1'
loop_
_atom_site_label
_atom_site_fract_x
_atom_site_fract_y
_atom_site_fract_z
_atom_site_occupancy
Tb1 0.000 0.500 0.500 1
Tb2 0.734 0.919 0.839 1
Tb3 0.266 0.081 0.161 1
Tb4 0.403 0.696 0.992 1
Tb5 0.597 0.304 0.008 1
Tb6 0.809 0.898 0.486 1
Tb7 0.191 0.102 0.514 1
Tb8 0.015 0.494 0.837 1
Tb9 0.985 0.506 0.163 1
Dy1 0.000 0.000 0.000 1
Dy2 0.627 0.276 0.345 1
Dy3 0.373 0.724 0.655 1
Tm1 0.586 0.301 0.666 1
Tm2 0.414 0.699 0.334 1
```

Entry 5:
Computed, not measured: a relaxed structure of Tb3Dy2Tm8 at the PBE level of DFT.

Properties
Formation energy from the elements, eV per atom: 0.253
Distance to the lowest polymorph of the same formula, meV/atom: 229

CIF file:
```
data_Tb3Dy2Tm8
_chemical_formula_sum 'Tb3 Dy2 Tm8'
_cell_length_a 5.517
_cell_length_b 7.531
_cell_length_c 10.730
_cell_angle_alpha 110.55
_cell_angle_beta 90.02
_cell_angle_gamma 90.00
_space_group_name_H-M_alt 'P 1'
_space_group_IT_number 1
_space_group_name_Hall 'P 1'
loop_
_atom_site_label
_atom_site_fract_x
_atom_site_fract_y
_atom_site_fract_z
_atom_site_occupancy
Tb1 0.500 0.000 0.000 1
Tb2 0.000 0.287 0.000 1
Tb3 0.000 0.713 0.000 1
Dy1 0.499 0.241 0.482 1
Dy2 0.501 0.759 0.518 1
Tm1 0.001 0.667 0.334 1
Tm2 0.999 0.333 0.666 1
Tm3 0.000 0.133 0.266 1
Tm4 0.000 0.867 0.734 1
Tm5 0.500 0.603 0.781 1
Tm6 0.500 0.179 0.781 1
Tm7 0.500 0.821 0.219 1
Tm8 0.500 0.397 0.219 1
```

Entry 6:
Computed, not measured: a relaxed structure of TbDyTm at the PBE level of DFT.

Properties
Formation energy from the elements, eV per atom: 0.022
Distance to the lowest polymorph of the same formula, meV/atom: 0

CIF file:
```
data_TbDyTm
_chemical_formula_sum 'Tb1 Dy1 Tm1'
_cell_length_a 3.520
_cell_length_b 3.520
_cell_length_c 7.891
_cell_angle_alpha 102.89
_cell_angle_beta 102.89
_cell_angle_gamma 90.00
_space_group_name_H-M_alt 'P 1'
_space_group_IT_number 1
_space_group_name_Hall 'P 1'
loop_
_atom_site_label
_atom_site_fract_x
_atom_site_fract_y
_atom_site_fract_z
_atom_site_occupancy
Tm1 0.667 0.667 0.334 1
Tb1 0.001 0.001 0.001 1
Dy1 0.332 0.332 0.665 1
```

Entry 7:
Computed, not measured: a relaxed structure of TbDy12Tm2 at the PBE level of DFT.

Properties
Formation energy from the elements, eV per atom: 0.118

CIF file:
```
data_TbDy12Tm2
_chemical_formula_sum 'Tb2 Dy24 Tm4'
_cell_length_a 6.578
_cell_length_b 6.578
_cell_length_c 24.685
_cell_angle_alpha 96.67
_cell_angle_beta 83.33
_cell_angle_gamma 65.10
_space_group_name_H-M_alt 'P 1'
_space_group_IT_number 1
_space_group_name_Hall 'P 1'
loop_
_atom_site_label
_atom_site_fract_x
_atom_site_fract_y
_atom_site_fract_z
_atom_site_occupancy
Tb1 0.500 0.000 0.000 1
Tb2 0.000 0.500 0.000 1
Dy1 0.401 0.599 0.798 1
Dy2 0.901 0.099 0.798 1
Dy3 0.602 0.898 0.862 1
Dy4 0.055 0.945 0.926 1
Dy5 0.004 0.996 0.329 1
Dy6 0.445 0.555 0.074 1
Dy7 0.832 0.168 0.555 1
Dy8 0.504 0.496 0.329 1
Dy9 0.102 0.398 0.862 1
Dy10 0.898 0.602 0.138 1
Dy11 0.316 0.184 0.576 1
Dy12 0.668 0.332 0.445 1
Dy13 0.996 0.004 0.671 1
Dy14 0.184 0.316 0.424 1
Dy15 0.398 0.102 0.138 1
Dy16 0.684 0.816 0.424 1
Dy17 0.816 0.684 0.576 1
Dy18 0.099 0.901 0.202 1
Dy19 0.332 0.668 0.555 1
Dy20 0.496 0.504 0.671 1
Dy21 0.555 0.445 0.926 1
Dy22 0.599 0.401 0.202 1
Dy23 0.168 0.832 0.445 1
Dy24 0.945 0.055 0.074 1
Tm1 0.547 0.953 0.271 1
Tm2 0.047 0.453 0.271 1
Tm3 0.953 0.547 0.729 1
Tm4 0.453 0.047 0.729 1
```

Entry 8:
Computed, not measured: a relaxed structure of Tb5DyTm at the PBE level of DFT.

Properties
Formation energy from the elements, eV per atom: 0.189
Distance to the lowest polymorph of the same formula, meV/atom: 0

CIF file:
```
data_Tb5DyTm
_chemical_formula_sum 'Tb10 Dy2 Tm2'
_cell_length_a 6.727
_cell_length_b 6.727
_cell_length_c 13.518
_cell_angle_alpha 62.20
_cell_angle_beta 62.20
_cell_angle_gamma 59.66
_space_group_name_H-M_alt 'P 1'
_space_group_IT_number 1
_space_group_name_Hall 'P 1'
loop_
_atom_site_label
_atom_site_fract_x
_atom_site_fract_y
_atom_site_fract_z
_atom_site_occupancy
Tb1 0.159 0.391 0.757 1
Tb2 0.661 0.682 0.498 1
Tb3 0.391 0.159 0.257 1
Tb4 0.166 0.834 0.750 1
Tb5 0.318 0.339 0.002 1
Tb6 0.682 0.661 0.998 1
Tb7 0.834 0.166 0.250 1
Tb8 0.609 0.841 0.743 1
Tb9 0.339 0.318 0.502 1
Tb10 0.841 0.609 0.243 1
Dy1 0.721 0.279 0.750 1
Dy2 0.279 0.721 0.250 1
Tm1 0.000 0.000 0.000 1
Tm2 0.000 0.000 0.500 1
```

Entry 9:
Computed, not measured: a relaxed structure of Tb3Dy9Tm2 at the PBE level of DFT.

Properties
Formation energy from the elements, eV per atom: 0.108

CIF file:
```
data_Tb3Dy9Tm2
_chemical_formula_sum 'Tb3 Dy9 Tm2'
_cell_length_a 6.227
_cell_length_b 10.388
_cell_length_c 13.597
_cell_angle_alpha 40.09
_cell_angle_beta 54.10
_cell_angle_gamma 55.99
_space_group_name_H-M_alt 'P 1'
_space_group_IT_number 1
_space_group_name_Hall 'P 1'
loop_
_atom_site_label
_atom_site_fract_x
_atom_site_fract_y
_atom_site_fract_z
_atom_site_occupancy
Tb1 0.098 0.897 0.071 1
Tb2 0.597 0.366 0.268 1
Tb3 0.370 0.671 0.713 1
Dy1 0.968 0.508 0.500 1
Dy2 0.390 0.992 0.707 1
Dy3 0.595 0.016 0.297 1
Dy4 0.757 0.861 0.901 1
Dy5 0.303 0.163 0.065 1
Dy6 0.007 0.850 0.484 1
Dy7 0.981 0.175 0.497 1
Dy8 0.806 0.490 0.900 1
Dy9 0.182 0.508 0.098 1
Tm1 0.371 0.340 0.700 1
Tm2 0.574 0.664 0.299 1
```